The following is a PBE-GGA calculation of crystalline HoTm2InGa2Hg3 at its relaxed geometry, from OQMD.

Geometry as extended XYZ:
```
9
Lattice="4.436 0.000 0.000 0.000 6.346 3.658 0.000 -6.346 3.658" Properties=species:S:1:pos:R:3 pbc="T T T"
Ho 0.000 0.000 0.000
Tm 0.000 -2.762 4.765
Tm 0.000 2.762 4.765
In 0.000 0.000 3.185
Ga 2.218 -4.224 3.172
Ga 2.218 4.224 3.172
Hg 2.218 -1.682 2.203
Hg 2.218 1.682 2.203
Hg 2.218 0.000 5.117
```

Calculated values
- Calculated volume: 205.9 Å³ per cell
- Crystal system: orthorhombic
- Electronic total energy: -3.023 eV per atom